DFT (PBE) results for an optimized crystal structure of Cs2Sr3ErF12. Values from VASP.

Cell and atoms, written as Quantum ESPRESSO input:
```
&SYSTEM
  ibrav = 0, nat = 18, ntyp = 4
/
ATOMIC_SPECIES
F 19.00 F.upf
Sr 87.62 Sr.upf
Cs 132.91 Cs.upf
Er 167.26 Er.upf
CELL_PARAMETERS angstrom
-2.0208 0.8165 -8.3814
-6.8330 -4.1363 -3.3464
-7.0650 4.3609 -2.4627
ATOMIC_POSITIONS angstrom
F -6.6117 0.8191 -9.6117
F -9.3071 0.2220 -4.5787
F -6.5881 3.0205 -7.4236
F -10.5691 3.6468 -11.1916
F -9.3307 -1.9794 -6.7668
F -9.4619 2.8218 -6.2675
F -6.4570 -1.7807 -7.9230
F -2.2465 0.5882 -6.2458
F -10.4195 -1.8328 -11.7615
F -5.4993 2.8739 -2.4290
F -13.6724 0.4529 -7.9447
F -5.3497 -2.6057 -2.9989
Sr -3.4165 -2.0682 -1.6732
Sr -1.0104 0.4083 -4.1907
Sr -3.5325 2.1805 -1.2313
Cs -6.3249 0.4137 -5.6382
Cs -9.5940 0.6275 -8.5523
Er 0.0000 0.0000 0.0000
```

Results
Calculated total energy   -95.368 eV/cell
Formation energy (no corrections)   -3.42 eV per atom


DFT (PBE) results for an optimized crystal structure of LiY2Mn. Values from VASP.

Cell and atoms, written as Quantum ESPRESSO input:
```
&SYSTEM
  ibrav = 0, nat = 4, ntyp = 3
/
ATOMIC_SPECIES
Y 88.91 Y.upf
Mn 54.94 Mn.upf
Li 6.94 Li.upf
CELL_PARAMETERS angstrom
3.5331 0.0000 0.0000
0.0000 3.5230 -0.0224
0.0000 3.5750 7.7651
ATOMIC_POSITIONS angstrom
Y 0.0000 3.5509 4.1002
Y 0.0000 3.5731 7.5363
Mn 1.7666 5.3235 5.8070
Li 1.7666 1.7745 1.9357
```

Results
Calculated total energy   -23.562 eV/cell
Energy of formation   0.1124 eV/atom


DFT (PBE) results for an optimized crystal structure of Al3Pt. Values from VASP.

Cell and atoms, written as Quantum ESPRESSO input:
```
&SYSTEM
  ibrav = 0, nat = 4, ntyp = 2
/
ATOMIC_SPECIES
Al 26.98 Al.upf
Pt 195.08 Pt.upf
CELL_PARAMETERS angstrom
-0.9436 4.0070 -1.6752
-3.3734 0.4772 -2.8539
-3.6953 2.1223 1.2622
ATOMIC_POSITIONS angstrom
Al -2.0031 1.6516 -0.8167
Al -4.0062 3.3032 -1.6334
Al 0.0000 0.0000 0.0000
Pt -6.0092 4.9548 -2.4501
```

Results
Calculated total energy   -18.728 eV/cell
Energy of formation   -0.3649 eV/atom